The following is a DFT calculation (PBE) of an optimized crystal structure of LaY2Mo.

Structure (POSCAR):
```
LaY2Mo
1.0
-2.363 -3.706 -1.504
3.590 -2.738 1.105
-1.902 -0.646 4.578
Mo La Y
1 1 2
direct
0.000 0.500 0.500
0.500 0.000 0.500
0.500 0.500 0.000
0.000 0.000 0.000
```

Computed properties:
* calculated volume: 26.99 A^3/atom
* total DFT energy (no corrections): -6.74 eV per atom
* energy above the most stable polymorph in this dataset: 0.157 eV per atom
* formation energy from the elements: 0.435 eV per atom
* Fermi-level density of states: 4.0 states/eV/f.u.